No. 1
The following is a DFT calculation (GGA-PBE) of a geometry-optimized LiSmHo structure.

Geometry as POSCAR:
```
LiSmHo
1.0
-2.7346 1.9846 0.9010
0.4248 -0.9843 -3.3285
-4.5139 -6.8823 1.4592
Sm Ho Li
1 1 1
Direct
0.3333 0.6667 0.6686
0.6667 0.3333 0.3285
0.0000 0.0000 0.0029
```

Calculated values
Energy above the most stable polymorph in this dataset, meV/atom: 19
Space-group type: P3m1
Electronic total energy, eV per atom: -3.630
Density of states at the Fermi level, states/eV/cell: 3.269

No. 2
The following is a DFT calculation (GGA-PBE) of a geometry-optimized LiEr2Rh structure.

Geometry as POSCAR:
```
LiEr2Rh
1.0
4.8854 0.0000 0.0000
-2.4427 4.2351 -0.0078
-2.4427 -1.4119 3.9928
Li Er Rh
1 2 1
Direct
0.5000 0.7500 0.2500
0.0000 0.5001 0.4999
0.0000 0.9999 0.0001
0.5000 0.2500 0.7500
```

Calculated values
Space-group type: Fm-3m
Electronic total energy, eV per atom: -5.120
Density of states at the Fermi level, states/eV/cell: 2.338

no.,V (Å³/cell),E_form (kJ per mole of atoms),magnetization (μB per formula unit)
1,89,10.36,0.00
2,83,-50.38,0.00